# NaSr2NiF8, relaxed, DFT GGA+U
data_NaSr2NiF8
_chemical_formula_sum 'Na1 Sr2 Ni1 F8'
_symmetry_space_group_name_H-M 'P -1'
_symmetry_Int_Tables_number 2
_cell_length_a 4.1825
_cell_length_b 5.6603
_cell_length_c 7.1662
_cell_angle_alpha 86.90
_cell_angle_beta 89.85
_cell_angle_gamma 88.35
loop_
_symmetry_equiv_pos_as_xyz
'x,y,z'
'-x,-y,-z'
loop_
_atom_site_label
_atom_site_fract_x
_atom_site_fract_y
_atom_site_fract_z
Na1 0.0000 0.0000 0.0000
Sr1 0.2977 0.4936 0.7494
Ni1 0.0000 0.0000 0.5000
F1 0.2084 0.2224 0.3232
F2 0.2340 0.6519 0.0554
F3 0.2392 0.7102 0.4434
F4 0.2469 0.0598 0.7143
# - magnetic moment (μB per cell) = 3.18
# - E (eV per cell) = -57.73